[1]
Computed, not measured: a relaxed structure of LiTa2As at the PBE level of DFT.

a = 5.1212 Å, b = 5.1212 Å, c = 5.1212 Å
α = 135.75°, β = 135.75°, γ = 64.37°
Sites, in units of the cell vectors:
Ta1 0.2500 0.7500 0.5000
As1 0.5000 0.5000 0.0000
Li1 0.7500 0.2500 0.5000
Ta2 0.0000 0.0000 0.0000

Output
ΔH_f (0 K)   0.08 eV/atom


[2]
Computed, not measured: a relaxed structure of RbNiPOs2 at the PBE level of DFT.

a = 4.5209 Å, b = 5.3481 Å, c = 4.5209 Å
α = 90.00°, β = 90.00°, γ = 90.00°
Site moments in Bohr magnetons follow the coordinates.
Sites, in units of the cell vectors:
P1 0.5000 0.5000 0.5000  -0.04
Rb1 0.0000 0.5000 0.0000  -0.01
Ni1 0.0000 0.0000 0.0000  0.11
Os1 0.5000 0.0000 0.0000  0.29
Os2 0.0000 0.0000 0.5000  0.42

Output
ΔH_f (0 K)   2.09 eV/atom


[3]
Computed, not measured: a relaxed structure of La2YBe at the PBE level of DFT.

a = 6.7891 Å, b = 6.7891 Å, c = 6.7891 Å
α = 148.53°, β = 135.44°, γ = 55.56°
Sites, in units of the cell vectors:
Be1 0.2500 0.7500 0.5000
La1 0.0471 0.0471 0.0000
Y1 0.7500 0.2500 0.5000
La2 0.4529 0.4529 0.0000

Output
ΔH_f (0 K)   0.17 eV/atom